Entry 1:
VASP calculation (PBE) on a relaxed Li4CdHg2 crystal.

Calculated values
**E above lowest polymorph**: 0.0 meV per atom
**Formation enthalpy at 0 K**: -0.2854 eV per atom
**Theoretical density**: 6.63 Mg/m³
**Total energy**: -1.596 eV per atom

abc: 4.7061 4.7061 21.2018
angles: 90.00 90.00 120.00
Space group R-3m (No. 166, hexagonal axes)
Asymmetric unit:
Li  0.0000  0.0000  0.0972
Li  0.0000  0.0000  0.3658
Cd  0.0000  0.0000  0.5000
Hg  0.0000  0.0000  0.2379



Entry 2:
VASP calculation (PBE) on a relaxed Li3Cd2Hg4 crystal.

Calculated values
**E above lowest polymorph**: 15.7 meV per atom
**Formation enthalpy at 0 K**: -0.2390 eV per atom
**Theoretical density**: 9.36 Mg/m³
**Total energy**: -1.214 eV per atom

abc: 8.566 4.813 9.028
angles: 90.00 92.60 90.00
Space group C2/m (No. 12)
Asymmetric unit:
Li  0.000  0.000  0.000
Li  0.161  0.500  0.578
Cd  0.175  0.500  0.240
Hg  0.010  0.000  0.338
Hg  0.163  0.500  0.900